Entry from Alexandria via LeMat-Bulk: a geometry-optimized CeNd3Er3 structure (PBE).

Results
ΔE_f (kcal/mol of atoms): 4.81
Uncorrected energy (eV/atom): -4.64
DOS at the Fermi energy (states/eV/f.u.): 15.602
Magnetization (Bohr magnetons per cell): 5.18

Lattice parameters (Å, degrees): 11.5319 11.4649 7.1981 90.00 90.01 90.00
Space group C2/m (No. 12)
Inequivalent atoms, fractional coordinates:
1 Ce 0.2053 0.0000 0.0010 (multiplicity 4)
2 Nd 0.0006 0.5000 0.2509 (multiplicity 4)
3 Nd 0.2501 0.2494 0.7527 (multiplicity 8)
4 Er 0.0000 0.2087 0.5000 (multiplicity 4)
5 Er 0.0000 0.2209 0.0000 (multiplicity 4)
6 Er 0.2181 0.0000 0.4988 (multiplicity 4)

Entry from Alexandria via LeMat-Bulk: a geometry-optimized CeNd3Er structure (PBE).

Results
ΔE_f (kcal/mol of atoms): 3.67
Uncorrected energy (eV/atom): -4.80
DOS at the Fermi energy (states/eV/f.u.): 10.145
Magnetization (Bohr magnetons per cell): 3.78

Lattice parameters (Å, degrees): 8.4578 9.5925 9.1233 90.00 114.83 90.00
Space group C2/m (No. 12)
Inequivalent atoms, fractional coordinates:
1 Ce 0.1411 0.0000 0.4570 (multiplicity 4)
2 Nd 0.0774 0.3186 0.7011 (multiplicity 8)
3 Nd 0.2080 0.5000 0.1180 (multiplicity 4)
4 Er 0.0000 0.1693 0.0000 (multiplicity 4)

Entry from Alexandria via LeMat-Bulk: a geometry-optimized CeNd12Er5 structure (PBE).

Results
ΔE_f (kcal/mol of atoms): 0.81
Uncorrected energy (eV/atom): -4.74
DOS at the Fermi energy (states/eV/f.u.): 31.519
Magnetization (Bohr magnetons per cell): 2.71

Lattice parameters (Å, degrees): 15.3755 15.3972 5.1373 90.00 90.00 90.00
Space group Cmmm (No. 65)
Inequivalent atoms, fractional coordinates:
1 Ce 0.0000 0.0000 0.0000 (multiplicity 2)
2 Nd 0.1631 0.0000 0.5000 (multiplicity 4)
3 Nd 0.1643 0.1663 0.0000 (multiplicity 8)
4 Nd 0.1645 0.3339 0.5000 (multiplicity 8)
5 Nd 0.1643 0.5000 0.0000 (multiplicity 4)
6 Er 0.0000 0.1661 0.5000 (multiplicity 4)
7 Er 0.0000 0.3332 0.0000 (multiplicity 4)
8 Er 0.0000 0.5000 0.5000 (multiplicity 2)

Q: What is the ΔE_f in the first record?
A: 4.81 kcal/mol of atoms

Q: Which of these has the lowest DOS at the Fermi energy?
A: CeNd3Er

Please write out number 3 again, unchanged.
Entry from Alexandria via LeMat-Bulk: a geometry-optimized CeNd12Er5 structure (PBE).

Results
ΔE_f (kcal/mol of atoms): 0.81
Uncorrected energy (eV/atom): -4.74
DOS at the Fermi energy (states/eV/f.u.): 31.519
Magnetization (Bohr magnetons per cell): 2.71

Lattice parameters (Å, degrees): 15.3755 15.3972 5.1373 90.00 90.00 90.00
Space group Cmmm (No. 65)
Inequivalent atoms, fractional coordinates:
1 Ce 0.0000 0.0000 0.0000 (multiplicity 2)
2 Nd 0.1631 0.0000 0.5000 (multiplicity 4)
3 Nd 0.1643 0.1663 0.0000 (multiplicity 8)
4 Nd 0.1645 0.3339 0.5000 (multiplicity 8)
5 Nd 0.1643 0.5000 0.0000 (multiplicity 4)
6 Er 0.0000 0.1661 0.5000 (multiplicity 4)
7 Er 0.0000 0.3332 0.0000 (multiplicity 4)
8 Er 0.0000 0.5000 0.5000 (multiplicity 2)